(1)
First-principles (PBE) data for crystalline TbDy2HoSc5 at its relaxed geometry, as listed in the Alexandria database.

The structure in POSCAR format:
```
TbDy2HoSc5
1.0
2.663 -9.265 0.000
2.663 9.265 0.000
0.000 0.000 10.295
Tb Dy Ho Sc
2 4 2 10
direct
0.082 0.918 0.500
0.918 0.082 0.000
0.387 0.613 0.363
0.391 0.609 0.771
0.609 0.391 0.271
0.613 0.387 0.863
0.293 0.707 0.050
0.707 0.293 0.550
0.021 0.979 0.775
0.103 0.897 0.062
0.201 0.799 0.752
0.214 0.786 0.341
0.480 0.520 0.072
0.520 0.480 0.572
0.786 0.214 0.841
0.799 0.201 0.252
0.897 0.103 0.562
0.979 0.021 0.275
```

Properties
Calculated total energy, eV per cell: -97.1
Formation energy from the elements, eV per atom: 0.17

***

(2)
First-principles (PBE) data for crystalline RbTa3Sn at its relaxed geometry, as listed in the Alexandria database.

The structure in POSCAR format:
```
RbTa3Sn
1.0
4.851 0.000 0.000
0.000 4.851 0.000
0.000 0.000 4.851
Rb Ta Sn
1 3 1
direct
0.000 0.000 0.000
0.000 0.000 0.500
0.000 0.500 0.000
0.500 0.000 0.000
0.500 0.500 0.500
```

Properties
Calculated total energy, eV per cell: -25.7
Formation energy from the elements, eV per atom: 2.96
Relative energy among the computed polymorphs, meV/atom: 786

***

(3)
First-principles (PBE) data for crystalline Tl6Te3I at its relaxed geometry, as listed in the Alexandria database.

The structure in POSCAR format:
```
Tl6Te3I
1.0
0.000 6.294 6.529
5.664 0.000 6.529
5.664 6.294 0.000
Tl Te I
6 3 1
direct
0.104 0.631 0.896
0.246 0.754 0.246
0.369 0.896 0.631
0.631 0.104 0.369
0.754 0.246 0.754
0.896 0.369 0.104
0.000 0.000 0.000
0.250 0.250 0.250
0.750 0.750 0.750
0.500 0.500 0.500
```

Properties
Calculated total energy, eV per cell: -26.0
Uncorrected formation energy, eV per atom: -0.082
Relative energy among the computed polymorphs, meV/atom: 178

***

(4)
First-principles (PBE) data for crystalline BaTl3S at its relaxed geometry, as listed in the Alexandria database.

The structure in POSCAR format:
```
BaTl3S
1.0
6.446 0.000 0.000
0.000 6.446 0.000
0.000 0.000 6.446
Ba Tl S
1 3 1
direct
0.000 0.000 0.000
0.000 0.000 0.500
0.000 0.500 0.000
0.500 0.000 0.000
0.500 0.500 0.500
```

Properties
Calculated total energy, eV per cell: -9.2
Uncorrected formation energy, eV per atom: 0.788
Relative energy among the computed polymorphs, meV/atom: 882

***

(5)
First-principles (PBE) data for crystalline Mn2CoOs at its relaxed geometry, as listed in the Alexandria database.

The structure in POSCAR format:
```
Mn2CoOs
1.0
2.595 0.000 0.000
0.000 3.574 0.000
0.000 0.000 5.105
Mn Co Os
2 1 1
direct
0.000 0.000 0.236
0.000 0.000 0.764
0.500 0.500 0.000
0.500 0.500 0.500
```

Properties
Calculated total energy, eV per cell: -36.4
Formation energy from the elements, eV per atom: 0.08

***

- Look up the calculated total energy of the first one.
  -97.1 eV per cell

***

- Which of these has the lowest calculated total energy?
  TbDy2HoSc5

***

- What is the calculated total energy in the first record?
  -97.1 eV per cell